<i>
V3CuMo: relaxed, PBE.

Output
Fermi-level density of states = 7.463 states/eV per cell
Total moment = 0.00 Bohr magnetons per cell

a = 4.3393 Å, b = 4.3393 Å, c = 4.3393 Å
α = 90.00°, β = 90.00°, γ = 90.00°
Last column: nearest neighbours and their distance in Å.
Space group Pm-3m (No. 221)
Symmetry-distinct sites (fractional):
V 0.0000 0.0000 0.5000 (multiplicity 3)  2 Cu 2.17
Cu 0.0000 0.0000 0.0000 (multiplicity 1)  6 V 2.17
Mo 0.5000 0.5000 0.5000 (multiplicity 1)  12 V 3.07

=====

<ii>
V3CuMo: relaxed, PBE.

Output
Fermi-level density of states = 8.987 states/eV per cell
Total moment = 0.68 Bohr magnetons per cell

a = 4.5231 Å, b = 4.5231 Å, c = 4.5231 Å
α = 90.00°, β = 90.00°, γ = 90.00°
Last column: nearest neighbours and their distance in Å.
Space group Pm-3m (No. 221)
Symmetry-distinct sites (fractional):
V 0.0000 0.0000 0.5000 (multiplicity 3)  2 Mo 2.26
Cu 0.5000 0.5000 0.5000 (multiplicity 1)  12 V 3.20
Mo 0.0000 0.0000 0.0000 (multiplicity 1)  6 V 2.26

=====

So which one is most stable? That would be <i>, about 0.095 eV/atom below the next structure.

=====

<i>
CuMoW2: relaxed, PBE.

Output
Fermi-level density of states = 5.609 states/eV per cell
Total moment = 0.00 Bohr magnetons per cell

a = 4.1127 Å, b = 4.1127 Å, c = 7.2099 Å
α = 90.00°, β = 90.00°, γ = 90.00°
Last column: nearest neighbours and their distance in Å.
Space group I-4m2 (No. 119)
Symmetry-distinct sites (fractional):
Cu 0.0000 0.0000 0.0000 (multiplicity 2)  8 W 2.73-2.91, 4 Mo 2.73
Mo 0.0000 0.5000 0.7500 (multiplicity 2)  8 W 2.73-2.91, 4 Cu 2.73
W 0.0000 0.0000 0.5000 (multiplicity 2)  4 W 2.73, 4 Mo 2.73, 4 Cu 2.91
W 0.0000 0.5000 0.2500 (multiplicity 2)  4 Cu 2.73, 4 W 2.73, 4 Mo 2.91

=====

<ii>
CuMoW2: relaxed, PBE.

Output
Fermi-level density of states = 2.351 states/eV per cell
Total moment = 0.00 Bohr magnetons per cell

a = 2.6571 Å, b = 2.6571 Å, c = 8.6723 Å
α = 90.00°, β = 90.00°, γ = 90.00°
Last column: nearest neighbours and their distance in Å.
Space group P4/mmm (No. 123)
Symmetry-distinct sites (fractional):
Cu 0.0000 0.0000 0.0000 (multiplicity 1)  4 Cu 2.66, 8 W 2.76
Mo 0.0000 0.0000 0.5000 (multiplicity 1)  4 Mo 2.66
W 0.5000 0.5000 0.2330 (multiplicity 2)  4 W 2.66, 4 Cu 2.76

=====

So which one is most stable? That would be <i>, about 0.019 eV/atom below the next structure.

=====

<i>
CuMoW2: relaxed, PBE.

Output
Fermi-level density of states = 4.180 states/eV per cell
Total moment = 0.00 Bohr magnetons per cell

a = 5.5148 Å, b = 7.8275 Å, c = 2.8295 Å
α = 90.00°, β = 90.00°, γ = 90.00°
Last column: nearest neighbours and their distance in Å.
Space group Cmmm (No. 65)
Symmetry-distinct sites (fractional):
Cu 0.0000 0.0000 0.0000 (multiplicity 2)  2 Mo 2.76, 8 W 2.78, 2 Cu 2.83
Mo 0.0000 0.5000 0.0000 (multiplicity 2)  2 Cu 2.76, 8 W 2.78, 2 Mo 2.83
W 0.2500 0.2500 0.5000 (multiplicity 4)  4 W 2.76-2.83, 4 Mo 2.78, 4 Cu 2.78

=====

<ii>
CuMoW2: relaxed, PBE.

Output
Fermi-level density of states = 15.725 states/eV per cell
Total moment = 0.00 Bohr magnetons per cell

a = 6.2549 Å, b = 6.2549 Å, c = 6.2549 Å
α = 90.00°, β = 90.00°, γ = 90.00°
Last column: nearest neighbours and their distance in Å.
Space group F-43m (No. 216)
Symmetry-distinct sites (fractional):
Cu 0.0000 0.0000 0.0000 (multiplicity 4)  4 W 2.71, 4 Mo 2.71
Mo 0.2500 0.2500 0.2500 (multiplicity 4)  4 W 2.71, 4 Cu 2.71
W 0.0000 0.0000 0.5000 (multiplicity 4)  4 W 2.71, 4 Mo 2.71
W 0.2500 0.2500 0.7500 (multiplicity 4)  4 W 2.71, 4 Cu 2.71

=====

<iii>
CuMoW2: relaxed, PBE.

Output
Fermi-level density of states = 3.353 states/eV per cell
Total moment = 0.00 Bohr magnetons per cell

a = 3.2482 Å, b = 3.2482 Å, c = 5.7302 Å
α = 90.00°, β = 90.00°, γ = 90.00°
Last column: nearest neighbours and their distance in Å.
Space group P4/mmm (No. 123)
Symmetry-distinct sites (fractional):
Cu 0.0000 0.0000 0.0000 (multiplicity 1)  8 W 2.67, 2 Mo 2.87
Mo 0.0000 0.0000 0.5000 (multiplicity 1)  8 W 2.74, 2 Cu 2.87
W 0.5000 0.5000 0.2391 (multiplicity 2)  4 Cu 2.67, 2 W 2.74-2.99, 4 Mo 2.74

=====

So which one is most stable? That would be <iii>, about 0.069 eV/atom below the next structure.

=====

<i>
CuMoW2: relaxed, PBE.

Output
Fermi-level density of states = 14.312 states/eV per cell
Total moment = 0.00 Bohr magnetons per cell

a = 7.0194 Å, b = 7.0194 Å, c = 5.3366 Å
α = 90.00°, β = 90.00°, γ = 90.00°
Last column: nearest neighbours and their distance in Å.
Space group I-42d (No. 122)
Symmetry-distinct sites (fractional):
Cu 0.0000 0.0000 0.0000 (multiplicity 4)  4 W 2.55, 2 Mo 2.67
Mo 0.0000 0.0000 0.5000 (multiplicity 4)  4 W 2.59, 2 Cu 2.67
W 0.2465 0.7500 0.1250 (multiplicity 8)  2 Cu 2.55, 2 Mo 2.59, 2 W 2.67

=====

<ii>
CuMoW2: relaxed, PBE.

Output
Fermi-level density of states = 16.918 states/eV per cell
Total moment = 0.00 Bohr magnetons per cell

a = 6.2453 Å, b = 6.2453 Å, c = 6.2453 Å
α = 90.00°, β = 90.00°, γ = 90.00°
Last column: nearest neighbours and their distance in Å.
Space group Fm-3m (No. 225)
Symmetry-distinct sites (fractional):
Cu 0.0000 0.0000 0.0000 (multiplicity 4)  8 W 2.70
Mo 0.0000 0.0000 0.5000 (multiplicity 4)  8 W 2.70
W 0.2500 0.2500 0.2500 (multiplicity 8)  4 Mo 2.70, 4 Cu 2.70

=====

<iii>
CuMoW2: relaxed, PBE.

Output
Fermi-level density of states = 5.384 states/eV per cell
Total moment = 0.00 Bohr magnetons per cell

a = 5.4591 Å, b = 8.9632 Å, c = 2.6717 Å
α = 90.00°, β = 110.76°, γ = 90.00°
Last column: nearest neighbours and their distance in Å.
Space group C2/m (No. 12)
Symmetry-distinct sites (fractional):
Cu 0.0000 0.0000 0.0000 (multiplicity 2)  2 Cu 2.67, 4 W 2.72, 2 Mo 2.73
Mo 0.0000 0.5000 0.0000 (multiplicity 2)  2 Mo 2.67, 4 W 2.72, 2 Cu 2.73
W 0.2500 0.2500 0.5000 (multiplicity 4)  4 W 2.67-2.73, 2 Mo 2.72, 2 Cu 2.72

=====

<iv>
CuMoW2: relaxed, PBE.

Output
Fermi-level density of states = 1.778 states/eV per cell
Total moment = 0.00 Bohr magnetons per cell

a = 2.6586 Å, b = 2.6586 Å, c = 8.6610 Å
α = 90.00°, β = 90.00°, γ = 90.00°
Last column: nearest neighbours and their distance in Å.
Space group P4mm (No. 99)
Symmetry-distinct sites (fractional):
Cu 0.0000 0.0000 0.0000 (multiplicity 1)  4 Cu 2.66, 4 W 2.75, 4 Mo 2.77
Mo 0.5000 0.5000 0.2344 (multiplicity 1)  4 Mo 2.66, 4 Cu 2.77
W 0.0000 0.0000 0.5010 (multiplicity 1)  4 W 2.66
W 0.5000 0.5000 0.7678 (multiplicity 1)  4 W 2.66, 4 Cu 2.75

=====

So which one is most stable? That would be <iii>, about 0.074 eV/atom below the next structure.

=====

<i>
CuMo3W: relaxed, PBE.

Output
Fermi-level density of states = 6.528 states/eV per cell
Total moment = 0.00 Bohr magnetons per cell

a = 4.7423 Å, b = 4.7423 Å, c = 4.7423 Å
α = 90.00°, β = 90.00°, γ = 90.00°
Last column: nearest neighbours and their distance in Å.
Space group Pm-3m (No. 221)
Symmetry-distinct sites (fractional):
Cu 0.0000 0.0000 0.0000 (multiplicity 1)  12 Mo 3.35
Mo 0.0000 0.5000 0.5000 (multiplicity 3)  2 W 2.37
W 0.5000 0.5000 0.5000 (multiplicity 1)  6 Mo 2.37

=====

<ii>
CuMo3W: relaxed, PBE.

Output
Fermi-level density of states = 7.792 states/eV per cell
Total moment = 0.00 Bohr magnetons per cell

a = 4.4549 Å, b = 4.4549 Å, c = 4.4549 Å
α = 90.00°, β = 90.00°, γ = 90.00°
Last column: nearest neighbours and their distance in Å.
Space group Pm-3m (No. 221)
Symmetry-distinct sites (fractional):
Cu 0.0000 0.0000 0.0000 (multiplicity 1)  6 Mo 2.23
Mo 0.0000 0.0000 0.5000 (multiplicity 3)  2 Cu 2.23
W 0.5000 0.5000 0.5000 (multiplicity 1)  12 Mo 3.15

=====

So which one is most stable? That would be <ii>, about 0.215 eV/atom below the next structure.

=====

<i>
CuMoW3: relaxed, PBE.

Output
Fermi-level density of states = 7.369 states/eV per cell
Total moment = 0.00 Bohr magnetons per cell

a = 4.4701 Å, b = 4.4701 Å, c = 4.4701 Å
α = 90.00°, β = 90.00°, γ = 90.00°
Last column: nearest neighbours and their distance in Å.
Space group Pm-3m (No. 221)
Symmetry-distinct sites (fractional):
Cu 0.0000 0.0000 0.0000 (multiplicity 1)  6 W 2.24
Mo 0.5000 0.5000 0.5000 (multiplicity 1)  12 W 3.16
W 0.0000 0.0000 0.5000 (multiplicity 3)  2 Cu 2.24

=====

<ii>
CuMoW3: relaxed, PBE.

Output
Fermi-level density of states = 5.844 states/eV per cell
Total moment = 0.00 Bohr magnetons per cell

a = 4.7145 Å, b = 4.7145 Å, c = 4.7145 Å
α = 90.00°, β = 90.00°, γ = 90.00°
Last column: nearest neighbours and their distance in Å.
Space group Pm-3m (No. 221)
Symmetry-distinct sites (fractional):
Cu 0.0000 0.0000 0.0000 (multiplicity 1)  12 W 3.33
Mo 0.5000 0.5000 0.5000 (multiplicity 1)  6 W 2.36
W 0.0000 0.5000 0.5000 (multiplicity 3)  2 Mo 2.36

=====

So which one is most stable? That would be <i>, about 0.386 eV/atom below the next structure.